No. 1
This record from OQMD describes a geometry-optimized PuMgZn structure. The functional is PBE.

Lattice parameters (Å, degrees): 6.7805 6.7805 6.7805 90.00 90.00 90.00
Closest atoms and distances in Å follow each position.
Space group F-43m (No. 216)
Symmetry-distinct sites (fractional):
Pu 0.0000 0.0000 0.0000 (multiplicity 4)  4 Zn 2.94
Mg 0.0000 0.0000 0.5000 (multiplicity 4)  4 Zn 2.94
Zn 0.2500 0.2500 0.2500 (multiplicity 4)  4 Mg 2.94, 4 Pu 2.94

* E: -65.70 eV/cell


No. 2
This record from OQMD describes a geometry-optimized Sr2CdPb structure. The functional is PBE.

Lattice parameters (Å, degrees): 8.1684 8.1684 8.1684 90.00 90.00 90.00
Closest atoms and distances in Å follow each position.
Space group F-43m (No. 216)
Symmetry-distinct sites (fractional):
Sr 0.0000 0.0000 0.0000 (multiplicity 4)  4 Cd 3.54, 4 Sr 3.54
Sr 0.2500 0.2500 0.2500 (multiplicity 4)  4 Pb 3.54, 4 Sr 3.54
Cd 0.2500 0.2500 0.7500 (multiplicity 4)  4 Pb 3.54, 4 Sr 3.54
Pb 0.0000 0.0000 0.5000 (multiplicity 4)  4 Cd 3.54, 4 Sr 3.54

* energy above the lowest structure with this stoichiometry: 340 meV per atom


No. 3
This record from OQMD describes a geometry-optimized NdGdCd6 structure. The functional is PBE.

Lattice parameters (Å, degrees): 5.1317 7.2579 5.1326 90.00 90.00 90.00
Closest atoms and distances in Å follow each position.
Space group Pmm2 (No. 25)
Symmetry-distinct sites (fractional):
Nd 0.0000 0.0000 0.0000 (multiplicity 1)  8 Cd 3.16
Gd 0.5000 0.5000 0.4926 (multiplicity 1)  8 Cd 3.13
Cd 0.0000 0.2534 0.5004 (multiplicity 2)  4 Cd 3.13-3.16, 2 Gd 3.13, 2 Nd 3.16
Cd 0.0000 0.5000 0.9996 (multiplicity 1)  8 Cd 3.13
Cd 0.5000 0.0000 0.4939 (multiplicity 1)  8 Cd 3.15-3.16
Cd 0.5000 0.2534 0.9924 (multiplicity 2)  2 Gd 3.13, 4 Cd 3.13-3.16, 2 Nd 3.16

* E: -17.28 eV/cell


No. 4
This record from OQMD describes a geometry-optimized Tb6Ni2Ge structure. The functional is PBE.

Lattice parameters (Å, degrees): 7.5170 7.5170 4.4712 90.00 90.00 120.00
Closest atoms and distances in Å follow each position.
Space group P-62m (No. 189)
Symmetry-distinct sites (fractional):
Tb 0.0000 0.2764 0.0000 (multiplicity 3)  2 Ni 2.74, 2 Ge 3.05
Tb 0.0000 0.6016 0.5000 (multiplicity 3)  1 Ge 2.99, 4 Ni 3.21, 2 Tb 3.31
Ni 0.3333 0.6667 0.0000 (multiplicity 2)  3 Tb 2.74
Ge 0.0000 0.0000 0.5000 (multiplicity 1)  9 Tb 2.99-3.05

* E: -46.31 eV/cell